Na3TlB2O6 | PBE | relaxed

CIF file:
```
data_Na3TlB2O6
_cell_length_a 5.3210
_cell_length_b 5.3210
_cell_length_c 6.3669
_cell_angle_alpha 90.00
_cell_angle_beta 90.00
_cell_angle_gamma 120.00
_space_group_name_H-M_alt 'P -3 m 1'
_space_group_IT_number 164
_space_group_name_Hall '-P 3 2"'
loop_
_atom_site_label
_atom_site_type_symbol
_atom_site_fract_x
_atom_site_fract_y
_atom_site_fract_z
Na1 Na 0.0000 0.0000 0.0000
Na2 Na 0.3333 0.6667 0.7755
Tl1 Tl 0.0000 0.0000 0.5000
B1 B 0.3333 0.6667 0.2713
O1 O 0.1830 0.3660 0.2612
```

Values from the calculation:
Raw formation energy = -1789 meV per atom
Crystal system = trigonal



Ac4IrI2Br | PBE | relaxed

CIF file:
```
data_Ac4IrI2Br
_cell_length_a 8.303
_cell_length_b 4.422
_cell_length_c 8.873
_cell_angle_alpha 90.00
_cell_angle_beta 107.30
_cell_angle_gamma 90.00
_space_group_name_H-M_alt 'P 1 2/m 1'
_space_group_IT_number 10
loop_
_space_group_symop_operation_xyz
'x,y,z'
'-x,-y,-z'
'-x,y,-z'
'x,-y,z'
loop_
_atom_site_label
_atom_site_type_symbol
_atom_site_fract_x
_atom_site_fract_y
_atom_site_fract_z
Ac1 Ac 0.196 0.000 0.192
Ac2 Ac 0.229 0.500 0.800
Ir1 Ir 0.000 0.500 0.000
I1 I 0.000 0.000 0.500
I2 I 0.500 0.500 0.500
Br1 Br 0.500 0.000 0.000
```

Values from the calculation:
Raw formation energy = -1022 meV per atom
Crystal system = monoclinic
Density of states at the Fermi level = 4.78 states/eV/cell



PrSm2H8 | PBE | relaxed

CIF file:
```
data_PrSm2H8
_cell_length_a 3.794
_cell_length_b 5.375
_cell_length_c 11.383
_cell_angle_alpha 90.00
_cell_angle_beta 90.00
_cell_angle_gamma 90.00
_space_group_name_H-M_alt 'I m m m'
_space_group_IT_number 71
_space_group_name_Hall '-I 2 2'
loop_
_atom_site_label
_atom_site_type_symbol
_atom_site_fract_x
_atom_site_fract_y
_atom_site_fract_z
Pr1 Pr 0.000 0.000 0.000
Sm1 Sm 0.000 0.000 0.330
H1 H 0.000 0.221 0.500
H2 H 0.000 0.265 0.163
H3 H 0.000 0.500 0.342
```

Values from the calculation:
Raw total energy = -4.323 eV per atom
Crystal system = orthorhombic
Density of states at the Fermi level = 2.55 states/eV/cell



TbLuCuAu | PBE | relaxed

CIF file:
```
data_TbLuCuAu
_cell_length_a 7.033
_cell_length_b 7.033
_cell_length_c 7.033
_cell_angle_alpha 90.00
_cell_angle_beta 90.00
_cell_angle_gamma 90.00
_space_group_name_H-M_alt 'F -4 3 m'
_space_group_IT_number 216
_space_group_name_Hall 'F -4 2 3'
loop_
_atom_site_label
_atom_site_type_symbol
_atom_site_fract_x
_atom_site_fract_y
_atom_site_fract_z
Tb1 Tb 0.000 0.000 0.000
Lu1 Lu 0.000 0.000 0.500
Cu1 Cu 0.250 0.250 0.750
Au1 Au 0.250 0.250 0.250
```

Values from the calculation:
Crystal system = cubic
Density of states at the Fermi level = 11.05 states/eV/cell
Formation enthalpy at 0 K = -2.24 eV per formula unit



VCo3H | PBE | relaxed

CIF file:
```
data_VCo3H
_cell_length_a 12.752
_cell_length_b 2.486
_cell_length_c 6.175
_cell_angle_alpha 90.00
_cell_angle_beta 100.79
_cell_angle_gamma 90.00
_space_group_name_H-M_alt 'C 1 2/m 1'
_space_group_IT_number 12
loop_
_space_group_symop_operation_xyz
'x,y,z'
'-x,-y,-z'
'-x,y,-z'
'x,-y,z'
'x+1/2,y+1/2,z'
'-x+1/2,-y+1/2,-z'
'-x+1/2,y+1/2,-z'
'x+1/2,-y+1/2,z'
loop_
_atom_site_label
_atom_site_type_symbol
_atom_site_fract_x
_atom_site_fract_y
_atom_site_fract_z
V1 V 0.108 0.000 0.090
Co1 Co 0.024 0.000 0.695
Co2 Co 0.152 0.500 0.469
Co3 Co 0.225 0.000 0.811
H1 H 0.118 0.500 0.807
```

Values from the calculation:
Energy above the lowest structure with this stoichiometry = 248.9 meV/atom
Crystal system = monoclinic
Density of states at the Fermi level = 17.77 states/eV/cell



In2Ru | PBE | relaxed

CIF file:
```
data_In2Ru
_cell_length_a 3.1864
_cell_length_b 3.1864
_cell_length_c 6.8582
_cell_angle_alpha 90.00
_cell_angle_beta 90.00
_cell_angle_gamma 120.00
_space_group_name_H-M_alt 'P -3 m 1'
_space_group_IT_number 164
_space_group_name_Hall '-P 3 2"'
loop_
_atom_site_label
_atom_site_type_symbol
_atom_site_fract_x
_atom_site_fract_y
_atom_site_fract_z
In1 In 0.3333 0.6667 0.3008
Ru1 Ru 0.0000 0.0000 0.0000
```

Values from the calculation:
Crystal system = trigonal
Density of states at the Fermi level = 3.33 states/eV/cell
Formation enthalpy at 0 K = 0.70 eV per formula unit



PmHoMg4 | PBE | relaxed

CIF file:
```
data_PmHoMg4
_cell_length_a 13.869
_cell_length_b 3.447
_cell_length_c 6.827
_cell_angle_alpha 90.00
_cell_angle_beta 104.21
_cell_angle_gamma 90.00
_space_group_name_H-M_alt 'C 1 2/m 1'
_space_group_IT_number 12
loop_
_space_group_symop_operation_xyz
'x,y,z'
'-x,-y,-z'
'-x,y,-z'
'x,-y,z'
'x+1/2,y+1/2,z'
'-x+1/2,-y+1/2,-z'
'-x+1/2,y+1/2,-z'
'x+1/2,-y+1/2,z'
loop_
_atom_site_label
_atom_site_type_symbol
_atom_site_fract_x
_atom_site_fract_y
_atom_site_fract_z
Pm1 Pm 0.000 0.000 0.000
Ho1 Ho 0.000 0.000 0.500
Mg1 Mg 0.175 0.500 0.341
Mg2 Mg 0.177 0.500 0.834
```

Values from the calculation:
Energy above the lowest structure with this stoichiometry = 33.7 meV/atom
Crystal system = monoclinic
Density of states at the Fermi level = 14.37 states/eV/cell
Formation enthalpy at 0 K = -0.27 eV per formula unit



Hg2SbRh | PBE | relaxed

CIF file:
```
data_Hg2SbRh
_cell_length_a 3.3614
_cell_length_b 3.3614
_cell_length_c 27.1641
_cell_angle_alpha 90.00
_cell_angle_beta 90.00
_cell_angle_gamma 120.00
_space_group_name_H-M_alt 'R -3 m'
_space_group_IT_number 166
_space_group_name_Hall '-R 3 2"'
loop_
_atom_site_label
_atom_site_type_symbol
_atom_site_fract_x
_atom_site_fract_y
_atom_site_fract_z
Hg1 Hg 0.0000 0.0000 0.2402
Sb1 Sb 0.0000 0.0000 0.0000
Rh1 Rh 0.0000 0.0000 0.5000
```

Values from the calculation:
Raw formation energy = 294 meV per atom
Crystal system = trigonal
Density of states at the Fermi level = 6.78 states/eV/cell



BaUBi2S6 | PBE | relaxed

CIF file:
```
data_BaUBi2S6
_cell_length_a 7.5967
_cell_length_b 7.5967
_cell_length_c 19.4297
_cell_angle_alpha 90.00
_cell_angle_beta 90.00
_cell_angle_gamma 120.00
_space_group_name_H-M_alt 'R -3'
_space_group_IT_number 148
_space_group_name_Hall '-R 3'
loop_
_atom_site_label
_atom_site_type_symbol
_atom_site_fract_x
_atom_site_fract_y
_atom_site_fract_z
Ba1 Ba 0.0000 0.0000 0.0000
U1 U 0.0000 0.0000 0.5000
Bi1 Bi 0.0000 0.0000 0.3192
S1 S 0.9999 0.2738 0.5895
```

Values from the calculation:
Raw formation energy = -978 meV per atom
Crystal system = trigonal
Density of states at the Fermi level = 21.97 states/eV/cell



PmTmHgGe | PBE | relaxed

CIF file:
```
data_PmTmHgGe
_cell_length_a 7.330
_cell_length_b 7.330
_cell_length_c 7.330
_cell_angle_alpha 90.00
_cell_angle_beta 90.00
_cell_angle_gamma 90.00
_space_group_name_H-M_alt 'F -4 3 m'
_space_group_IT_number 216
_space_group_name_Hall 'F -4 2 3'
loop_
_atom_site_label
_atom_site_type_symbol
_atom_site_fract_x
_atom_site_fract_y
_atom_site_fract_z
Pm1 Pm 0.000 0.000 0.000
Tm1 Tm 0.000 0.000 0.500
Hg1 Hg 0.250 0.250 0.250
Ge1 Ge 0.250 0.250 0.750
```

Values from the calculation:
Crystal system = cubic
Density of states at the Fermi level = 13.43 states/eV/cell
Formation enthalpy at 0 K = -2.16 eV per formula unit



LiGaAg6 | PBE | relaxed

CIF file:
```
data_LiGaAg6
_cell_length_a 7.3399
_cell_length_b 7.3399
_cell_length_c 10.7332
_cell_angle_alpha 90.00
_cell_angle_beta 90.00
_cell_angle_gamma 120.00
_space_group_name_H-M_alt 'R -3 m'
_space_group_IT_number 166
_space_group_name_Hall '-R 3 2"'
loop_
_atom_site_label
_atom_site_type_symbol
_atom_site_fract_x
_atom_site_fract_y
_atom_site_fract_z
Li1 Li 0.0000 0.0000 0.0000
Ga1 Ga 0.0000 0.0000 0.5000
Ag1 Ag 0.0817 0.5409 0.8797
```

Values from the calculation:
Energy above the lowest structure with this stoichiometry = 222.0 meV/atom
Crystal system = trigonal
Density of states at the Fermi level = 10.00 states/eV/cell
Formation enthalpy at 0 K = 1.24 eV per formula unit



Hg2OsW | PBE | relaxed

CIF file:
```
data_Hg2OsW
_cell_length_a 6.535
_cell_length_b 6.535
_cell_length_c 6.535
_cell_angle_alpha 90.00
_cell_angle_beta 90.00
_cell_angle_gamma 90.00
_space_group_name_H-M_alt 'F m -3 m'
_space_group_IT_number 225
_space_group_name_Hall '-F 4 2 3'
loop_
_atom_site_label
_atom_site_type_symbol
_atom_site_fract_x
_atom_site_fract_y
_atom_site_fract_z
Hg1 Hg 0.250 0.250 0.250
Os1 Os 0.000 0.000 0.000
W1 W 0.000 0.000 0.500
```

Values from the calculation:
Energy above the lowest structure with this stoichiometry = 781.5 meV/atom
Crystal system = cubic
Density of states at the Fermi level = 12.13 states/eV/cell
Formation enthalpy at 0 K = 4.75 eV per formula unit



Al2CuCl | PBE | relaxed

CIF file:
```
data_Al2CuCl
_cell_length_a 2.882
_cell_length_b 4.443
_cell_length_c 5.544
_cell_angle_alpha 90.00
_cell_angle_beta 90.00
_cell_angle_gamma 90.00
_space_group_name_H-M_alt 'P m m m'
_space_group_IT_number 47
loop_
_space_group_symop_operation_xyz
'x,y,z'
'-x,-y,-z'
'-x,-y,z'
'x,y,-z'
'x,-y,-z'
'-x,y,z'
'-x,y,-z'
'x,-y,z'
loop_
_atom_site_label
_atom_site_type_symbol
_atom_site_fract_x
_atom_site_fract_y
_atom_site_fract_z
Al1 Al 0.000 0.000 0.000
Al2 Al 0.500 0.000 0.500
Cu1 Cu 0.000 0.500 0.500
Cl1 Cl 0.500 0.500 0.000
```

Values from the calculation:
Energy above the lowest structure with this stoichiometry = 338.2 meV/atom
Raw formation energy = 112 meV per atom
Crystal system = orthorhombic
Density of states at the Fermi level = 1.55 states/eV/cell